i.
Entry from Alexandria via LeMat-Bulk: a relaxed structure of ScTc2Bi2 (PBE).

```
5
Lattice="-0.041 -0.773 4.604 -4.238 -1.926 -0.361 0.134 -6.204 1.327" Properties=species:S:1:pos:R:3 pbc="T T T"
Sc 0.000 0.000 0.000
Bi -1.529 -2.652 1.908
Bi -2.615 -6.251 3.662
Tc -1.023 -4.163 4.027
Tc -3.122 -4.740 1.544
```

## Properties
Spin magnetization ... 0.0 μB/f.u.

=====

ii.
Entry from Alexandria via LeMat-Bulk: a relaxed structure of ScTc2Bi2 (PBE).

```
10
Lattice="7.931 0.000 0.000 0.000 7.931 0.000 0.000 0.000 3.281" Properties=species:S:1:pos:R:3 pbc="T T T"
Sc 0.000 0.000 0.000
Sc 3.966 3.966 0.000
Bi 2.748 6.713 0.000
Bi 6.713 5.183 0.000
Bi 5.183 1.218 0.000
Bi 1.218 2.748 0.000
Tc 1.122 5.088 1.640
Tc 5.088 6.809 1.640
Tc 6.809 2.844 1.640
Tc 2.844 1.122 1.640
```

## Properties
Spin magnetization ... 0.1 μB/f.u.

=====

Tell me which of them is the least stable. Sure, it is i.

=====

i.
Entry from Alexandria via LeMat-Bulk: a relaxed structure of Sc2BiTe2 (PBE).

```
10
Lattice="-6.634 0.630 4.935 -4.947 0.042 -6.655 -0.239 -3.725 0.154" Properties=species:S:1:pos:R:3 pbc="T T T"
Sc -6.514 0.255 -3.928
Sc -8.853 0.562 -0.144
Sc -5.067 0.417 2.207
Sc -2.728 0.110 -1.576
Te -4.244 -1.746 -3.496
Te -8.624 -1.422 -2.458
Te -7.576 -1.307 1.930
Te -3.196 -1.631 0.892
Bi 0.000 0.000 0.000
Bi -5.791 0.336 -0.860
```

## Properties
Spin magnetization ... 0.0 μB/f.u.

=====

ii.
Entry from Alexandria via LeMat-Bulk: a relaxed structure of Sc2BiTe2 (PBE).

```
20
Lattice="5.733 0.000 0.000 0.000 8.194 0.000 0.000 0.000 12.424" Properties=species:S:1:pos:R:3 pbc="T T T"
Sc 4.300 2.657 9.114
Sc 1.433 1.440 2.902
Sc 1.433 5.537 3.310
Sc 4.300 6.754 9.522
Sc 4.300 7.219 1.180
Sc 1.433 5.072 7.392
Sc 1.433 0.975 11.244
Sc 4.300 3.122 5.032
Bi 4.300 0.529 6.821
Bi 1.433 3.568 0.608
Bi 1.433 7.665 5.604
Bi 4.300 4.626 11.816
Te 4.300 4.950 7.311
Te 1.433 7.341 1.098
Te 1.433 3.244 5.114
Te 4.300 0.853 11.326
Te 4.300 1.583 2.625
Te 1.433 2.514 8.838
Te 1.433 6.611 9.799
Te 4.300 5.680 3.587
```

## Properties
Spin magnetization ... 0.0 μB/f.u.

=====

Tell me which of them is the least stable. Sure, it is i.

=====

i.
Entry from Alexandria via LeMat-Bulk: a relaxed structure of ThSc2Bi (PBE).

```
4
Lattice="-0.810 -2.657 2.092 1.579 -0.332 3.081 -7.209 4.781 6.172" Properties=species:S:1:pos:R:3 pbc="T T T"
Th -3.222 0.898 5.674
Sc -5.434 3.407 5.115
Sc -1.515 0.374 2.780
Bi 0.512 -1.992 3.449
```

## Properties
Spin magnetization ... 0.0 μB/f.u.

=====

ii.
Entry from Alexandria via LeMat-Bulk: a relaxed structure of ThSc2Bi (PBE).

```
4
Lattice="3.506 0.000 0.000 1.753 3.036 0.000 1.753 1.012 10.198" Properties=species:S:1:pos:R:3 pbc="T T T"
Sc 1.753 1.012 2.453
Sc 5.259 3.036 7.745
Bi 0.000 0.000 0.000
Th 3.506 2.024 5.099
```

## Properties
Spin magnetization ... 0.0 μB/f.u.

=====

Tell me which of them is the least stable. Sure, it is i.

=====

i.
Entry from Alexandria via LeMat-Bulk: a relaxed structure of ThSc2Bi (PBE).

```
4
Lattice="4.403 0.000 0.000 0.000 4.861 0.000 0.000 0.000 4.861" Properties=species:S:1:pos:R:3 pbc="T T T"
Sc 0.000 0.000 2.431
Sc 0.000 2.431 0.000
Bi 2.201 0.000 0.000
Th 2.201 2.431 2.431
```

## Properties
Spin magnetization ... 0.0 μB/f.u.

=====

ii.
Entry from Alexandria via LeMat-Bulk: a relaxed structure of ThSc2Bi (PBE).

```
4
Lattice="3.816 0.000 0.000 0.000 3.816 0.000 0.000 0.000 7.166" Properties=species:S:1:pos:R:3 pbc="T T T"
Sc 0.000 0.000 5.197
Sc 0.000 0.000 1.969
Bi 1.908 1.908 3.583
Th 1.908 1.908 0.000
```

## Properties
Spin magnetization ... 0.0 μB/f.u.

=====

Tell me which of them is the least stable. Sure, it is i.